1.
Here is an optimized crystal structure of HfTaSe from Alexandria. Energies are from GGA-PBE.

Cell lengths 7.268, 3.465, 10.111 Å; angles 90.00, 112.07, 90.00 degrees
Sites, in units of the cell vectors:
Se1 0.325 0.500 0.344
Se2 0.325 0.000 0.844
Se3 0.675 0.000 0.156
Ta1 0.933 0.500 0.129
Hf1 0.725 0.500 0.386
Ta2 0.067 0.000 0.371
Ta3 0.067 0.500 0.871
Ta4 0.933 0.000 0.629
Hf2 0.725 0.000 0.886
Hf3 0.275 0.000 0.114
Hf4 0.275 0.500 0.614
Se4 0.675 0.500 0.656

Computed properties:
Distance to the lowest polymorph of the same formula = 0 meV/atom
Electronic total energy = -8.917 eV per atom
Formation energy without anion corrections = -1.46 eV per formula unit


2.
Here is an optimized crystal structure of HfTaSe from Alexandria. Energies are from GGA-PBE.

Cell lengths 6.751, 3.453, 9.868 Å; angles 90.00, 101.70, 90.00 degrees
Sites, in units of the cell vectors:
Hf1 0.305 0.000 0.066
Hf2 0.608 0.500 0.297
Se1 0.731 0.500 0.591
Hf3 0.305 0.500 0.566
Hf4 0.608 0.000 0.797
Ta1 0.045 0.000 0.721
Ta2 0.045 0.500 0.221
Se2 0.327 0.000 0.356
Ta3 0.950 0.500 0.931
Ta4 0.950 0.000 0.431
Se3 0.327 0.500 0.856
Se4 0.731 0.000 0.091

Computed properties:
Distance to the lowest polymorph of the same formula = 73 meV/atom
Electronic total energy = -8.843 eV per atom
Formation energy without anion corrections = -1.24 eV per formula unit


3.
Here is an optimized crystal structure of HfTaSe from Alexandria. Energies are from GGA-PBE.

Cell lengths 5.221, 3.412, 13.440 Å; angles 90.00, 96.38, 90.00 degrees
Sites, in units of the cell vectors:
Hf1 0.295 0.000 0.881
Hf2 0.705 0.500 0.619
Ta1 0.772 0.000 0.447
Hf3 0.705 0.000 0.119
Se1 0.773 0.500 0.297
Se2 0.227 0.000 0.203
Hf4 0.295 0.500 0.381
Ta2 0.772 0.500 0.947
Se3 0.773 0.000 0.797
Ta3 0.228 0.000 0.553
Se4 0.227 0.500 0.703
Ta4 0.228 0.500 0.053

Computed properties:
Distance to the lowest polymorph of the same formula = 5 meV/atom
Electronic total energy = -8.911 eV per atom
Formation energy without anion corrections = -1.44 eV per formula unit


4.
Here is an optimized crystal structure of Hf2TaSe from Alexandria. Energies are from GGA-PBE.

Cell lengths 3.319, 3.319, 8.769 Å; angles 79.09, 79.09, 60.00 degrees
Sites, in units of the cell vectors:
Se1 0.668 0.668 0.996
Ta1 0.500 0.500 0.501
Hf1 0.255 0.255 0.236
Hf2 0.078 0.078 0.767

Computed properties:
Electronic total energy = -9.119 eV per atom
Formation energy without anion corrections = -1.23 eV per formula unit


5.
Here is an optimized crystal structure of Hf3TaSe from Alexandria. Energies are from GGA-PBE.

Cell lengths 4.863, 4.863, 4.863 Å; angles 90.00, 90.00, 90.00 degrees
Sites, in units of the cell vectors:
Hf1 0.000 0.500 0.000
Ta1 0.500 0.500 0.500
Hf2 0.000 0.000 0.500
Hf3 0.500 0.000 0.000
Se1 0.000 0.000 0.000

Computed properties:
Distance to the lowest polymorph of the same formula = 0 meV/atom
Electronic total energy = -8.734 eV per atom
Formation energy without anion corrections = 1.53 eV per formula unit


6.
Here is an optimized crystal structure of HfTa2Te2Se4 from Alexandria. Energies are from GGA-PBE.

Cell lengths 3.568, 3.568, 22.109 Å; angles 90.00, 90.00, 120.00 degrees
Sites, in units of the cell vectors:
Se1 0.667 0.333 0.047
Ta1 0.667 0.333 0.658
Te1 0.667 0.333 0.419
Se2 0.000 0.000 0.732
Te2 0.667 0.333 0.239
Se3 0.000 0.000 0.583
Se4 0.667 0.333 0.898
Hf1 0.000 0.000 0.329
Ta2 0.000 0.000 0.972

Computed properties:
Electronic total energy = -6.701 eV per atom
Formation energy without anion corrections = -6.43 eV per formula unit


7.
Here is an optimized crystal structure of Hf2TaTiSe from Alexandria. Energies are from GGA-PBE.

Cell lengths 5.200, 4.657, 5.200 Å; angles 90.00, 90.00, 90.00 degrees
Last column: magnetic moment on the atom in μB.
Sites, in units of the cell vectors:
Hf1 0.000 0.000 0.500  0.11
Ta1 0.000 0.000 0.000  0.00
Se1 0.500 0.500 0.500  -0.02
Hf2 0.500 0.000 0.000  0.12
Ti1 0.000 0.500 0.000  0.32

Computed properties:
Electronic total energy = -7.641 eV per atom
Formation energy without anion corrections = 4.94 eV per formula unit


8.
Here is an optimized crystal structure of HfTa2VSe from Alexandria. Energies are from GGA-PBE.

Cell lengths 4.777, 4.413, 4.777 Å; angles 90.00, 90.00, 90.00 degrees
Sites, in units of the cell vectors:
Hf1 0.500 0.500 0.500
V1 0.000 0.500 0.000
Ta1 0.000 0.000 0.500
Ta2 0.500 0.000 0.000
Se1 0.000 0.000 0.000

Computed properties:
Electronic total energy = -8.702 eV per atom
Formation energy without anion corrections = 2.75 eV per formula unit


9.
Here is an optimized crystal structure of TbHf2Se from Alexandria. Energies are from GGA-PBE.

Cell lengths 3.308, 3.308, 10.360 Å; angles 80.81, 80.81, 60.00 degrees
Sites, in units of the cell vectors:
Hf1 0.897 0.897 0.308
Se1 0.500 0.500 0.500
Hf2 0.103 0.103 0.692
Tb1 0.000 0.000 0.000

Computed properties:
Electronic total energy = -7.060 eV per atom
Formation energy without anion corrections = -0.22 eV per formula unit


10.
Here is an optimized crystal structure of Tb2HfSe4 from Alexandria. Energies are from GGA-PBE.

Cell lengths 7.095, 6.840, 7.802 Å; angles 90.00, 105.24, 90.00 degrees
Sites, in units of the cell vectors:
Tb1 0.708 0.750 0.054
Se1 0.989 0.250 0.135
Se2 0.980 0.250 0.611
Tb2 0.297 0.250 0.450
Tb3 0.703 0.750 0.550
Se3 0.020 0.750 0.389
Se4 0.512 0.493 0.253
Se5 0.488 0.507 0.747
Se6 0.011 0.750 0.865
Tb4 0.292 0.250 0.946
Hf1 0.772 0.250 0.823
Hf2 0.228 0.750 0.177
Se7 0.512 0.007 0.253
Se8 0.488 0.993 0.747

Computed properties:
Electronic total energy = -6.129 eV per atom
Formation energy without anion corrections = -9.75 eV per formula unit


11.
Here is an optimized crystal structure of TbHfSe2 from Alexandria. Energies are from GGA-PBE.

Cell lengths 3.721, 3.721, 9.234 Å; angles 78.38, 78.38, 60.00 degrees
Sites, in units of the cell vectors:
Se1 0.106 0.106 0.681
Se2 0.894 0.894 0.319
Tb1 0.000 0.000 0.000
Hf1 0.500 0.500 0.500

Computed properties:
Distance to the lowest polymorph of the same formula = 323 meV/atom
Electronic total energy = -6.399 eV per atom
Formation energy without anion corrections = -4.04 eV per formula unit


12.
Here is an optimized crystal structure of Tb5Hf3Se12 from Alexandria. Energies are from GGA-PBE.

Cell lengths 14.236, 14.236, 14.236 Å; angles 109.47, 109.47, 109.47 degrees
Last column: magnetic moment on the atom in μB.
Sites, in units of the cell vectors:
Se1 0.941 0.369 0.267  -0.01
Tb1 0.875 0.625 0.750  0.05
Hf1 0.625 0.375 0.750  0.45
Se2 0.559 0.326 0.928  -0.01
Se3 0.602 0.869 0.428  -0.01
Hf2 0.750 0.875 0.625  0.45
Se4 0.267 0.869 0.941  -0.01
Se5 0.941 0.572 0.174  -0.01
Tb2 0.500 0.000 0.500  0.04
Se6 0.572 0.941 0.674  -0.01
Se7 0.928 0.826 0.559  -0.01
Hf3 0.625 0.250 0.375  0.45
Tb3 0.125 0.750 0.375  0.05
Se8 0.131 0.398 0.072  -0.01
Hf4 0.125 0.250 0.875  0.45
Tb4 0.000 0.500 0.500  0.04
Se9 0.928 0.102 0.869  -0.01
Tb5 0.750 0.625 0.375  0.05
Se10 0.869 0.267 0.441  -0.01
Se11 0.102 0.928 0.369  -0.01
Se12 0.174 0.072 0.941  -0.01
Tb6 0.250 0.375 0.625  0.05
Tb7 0.500 0.500 0.000  0.04
Se13 0.441 0.674 0.072  -0.01
Se14 0.826 0.898 0.267  -0.01
Tb8 0.000 0.000 0.000  0.04
Se15 0.869 0.602 0.928  -0.01
Se16 0.072 0.898 0.131  -0.01
Se17 0.674 0.233 0.602  -0.01
Se18 0.602 0.733 0.674  -0.01
Se19 0.102 0.174 0.233  -0.01
Tb9 0.000 0.000 0.500  0.04
Se20 0.233 0.674 0.102  -0.01
Tb10 0.250 0.875 0.125  0.05
Se21 0.398 0.131 0.572  -0.01
Hf5 0.375 0.625 0.250  0.45
Se22 0.267 0.398 0.826  -0.01
Se23 0.441 0.767 0.869  -0.01
Tb11 0.625 0.750 0.875  0.05
Se24 0.631 0.572 0.898  -0.01
Tb12 0.125 0.375 0.250  0.05
Tb13 0.375 0.250 0.125  0.05
Se25 0.428 0.369 0.602  -0.01
Se26 0.733 0.602 0.174  -0.01
Tb14 0.375 0.125 0.750  0.05
Tb15 0.625 0.875 0.250  0.05
Se27 0.767 0.441 0.369  -0.01
Se28 0.174 0.102 0.733  -0.01
Se29 0.767 0.326 0.898  -0.01
Se30 0.898 0.072 0.631  -0.01
Se31 0.898 0.826 0.767  -0.01
Se32 0.369 0.428 0.102  -0.01
Se33 0.369 0.941 0.767  -0.01
Se34 0.326 0.559 0.428  -0.01
Se35 0.059 0.631 0.733  -0.01
Se36 0.674 0.441 0.572  -0.01
Se37 0.428 0.059 0.326  -0.01
Hf6 0.875 0.750 0.125  0.45
Se38 0.131 0.733 0.559  -0.01
Hf7 0.750 0.375 0.125  0.45
Se39 0.631 0.059 0.233  -0.01
Hf8 0.250 0.125 0.375  0.45
Se40 0.826 0.928 0.059  -0.01
Hf9 0.125 0.875 0.750  0.45
Hf10 0.375 0.750 0.625  0.45
Tb16 0.500 0.500 0.500  0.04
Se41 0.572 0.631 0.398  -0.01
Se42 0.059 0.428 0.826  -0.01
Tb17 0.500 0.000 0.000  0.04
Tb18 0.000 0.500 0.000  0.04
Se43 0.326 0.767 0.398  -0.01
Tb19 0.875 0.250 0.625  0.05
Se44 0.733 0.131 0.059  -0.01
Se45 0.559 0.233 0.131  -0.01
Se46 0.398 0.267 0.326  -0.01
Se47 0.072 0.174 0.441  -0.01
Tb20 0.750 0.125 0.875  0.05
Se48 0.233 0.559 0.631  -0.01
Hf11 0.875 0.125 0.250  0.45
Hf12 0.250 0.625 0.875  0.45

Computed properties:
Electronic total energy = -5.909 eV per atom
Formation energy without anion corrections = -23.35 eV per formula unit


13.
Here is an optimized crystal structure of TbHfSe2 from Alexandria. Energies are from GGA-PBE.

Cell lengths 3.673, 3.673, 7.769 Å; angles 76.34, 76.34, 59.99 degrees
Sites, in units of the cell vectors:
Hf1 0.500 0.500 0.500
Se1 0.090 0.090 0.730
Se2 0.244 0.244 0.268
Tb1 0.666 0.666 0.002

Computed properties:
Distance to the lowest polymorph of the same formula = 0 meV/atom
Electronic total energy = -6.722 eV per atom
Formation energy without anion corrections = -5.33 eV per formula unit


14.
Here is an optimized crystal structure of Tb3HfTl3Se8 from Alexandria. Energies are from GGA-PBE.

Cell lengths 8.217, 8.217, 9.191 Å; angles 116.57, 90.00, 120.00 degrees
Sites, in units of the cell vectors:
Se1 0.751 0.974 0.697
Se2 0.777 0.026 0.303
Tb1 0.000 0.500 0.500
Tb2 0.500 0.000 0.500
Se3 0.223 0.974 0.697
Tl1 0.500 0.500 0.000
Se4 0.223 0.446 0.697
Tb3 0.500 0.500 0.500
Se5 0.777 0.554 0.303
Tl2 0.000 0.500 0.000
Se6 0.249 0.026 0.303
Se7 0.735 0.471 0.706
Hf1 0.000 0.000 0.500
Tl3 0.000 0.000 0.000
Se8 0.265 0.529 0.294

Computed properties:
Electronic total energy = -5.300 eV per atom
Formation energy without anion corrections = -20.68 eV per formula unit


15.
Here is an optimized crystal structure of Tb2HfTl3Se6 from Alexandria. Energies are from GGA-PBE.

Cell lengths 7.006, 7.006, 8.456 Å; angles 98.17, 98.17, 120.07 degrees
Sites, in units of the cell vectors:
Se1 0.246 0.246 0.801
Tb1 0.666 0.334 0.000
Tb2 0.334 0.666 0.000
Tl1 0.171 0.829 0.500
Se2 0.619 0.933 0.804
Se3 0.933 0.619 0.804
Se4 0.754 0.754 0.199
Hf1 0.000 0.000 0.000
Se5 0.067 0.381 0.196
Se6 0.381 0.067 0.196
Tl2 0.500 0.500 0.500
Tl3 0.829 0.171 0.500

Computed properties:
Electronic total energy = -5.143 eV per atom
Formation energy without anion corrections = -14.50 eV per formula unit


16.
Here is an optimized crystal structure of HfTcSe2 from Alexandria. Energies are from GGA-PBE.

Cell lengths 8.821, 8.821, 8.821 Å; angles 21.36, 21.36, 21.36 degrees
Sites, in units of the cell vectors:
Tc1 0.000 0.000 0.000
Se1 0.093 0.093 0.093
Se2 0.907 0.907 0.907
Hf1 0.500 0.500 0.500

Computed properties:
Distance to the lowest polymorph of the same formula = 207 meV/atom
Electronic total energy = -6.936 eV per atom
Formation energy without anion corrections = -0.45 eV per formula unit


17.
Here is an optimized crystal structure of HfTcSe from Alexandria. Energies are from GGA-PBE.

Cell lengths 3.970, 3.970, 10.822 Å; angles 79.43, 79.43, 60.00 degrees
Sites, in units of the cell vectors:
Tc1 0.840 0.840 0.481
Se1 0.722 0.722 0.835
Hf1 0.434 0.434 0.698
Tc2 0.160 0.160 0.519
Se2 0.278 0.278 0.165
Hf2 0.566 0.566 0.302

Computed properties:
Electronic total energy = -8.431 eV per atom
Formation energy without anion corrections = -1.49 eV per formula unit


18.
Here is an optimized crystal structure of HfTcSe2 from Alexandria. Energies are from GGA-PBE.

Cell lengths 4.587, 4.587, 4.587 Å; angles 60.00, 60.00, 60.00 degrees
Sites, in units of the cell vectors:
Hf1 0.500 0.500 0.500
Tc1 0.000 0.000 0.000
Se1 0.250 0.250 0.250
Se2 0.750 0.750 0.750

Computed properties:
Distance to the lowest polymorph of the same formula = 0 meV/atom
Electronic total energy = -7.143 eV per atom
Formation energy without anion corrections = -1.28 eV per formula unit


19.
Here is an optimized crystal structure of HfTcSe2 from Alexandria. Energies are from GGA-PBE.

Cell lengths 4.729, 4.729, 8.298 Å; angles 73.44, 73.44, 90.00 degrees
Sites, in units of the cell vectors:
Se1 0.153 0.625 0.250
Hf1 0.000 0.000 0.000
Tc1 0.250 0.750 0.500
Se2 0.875 0.847 0.750
Se3 0.375 0.403 0.750
Se4 0.597 0.125 0.250
Hf2 0.750 0.250 0.500
Tc2 0.500 0.500 0.000

Computed properties:
Distance to the lowest polymorph of the same formula = 114 meV/atom
Electronic total energy = -7.029 eV per atom
Formation energy without anion corrections = -0.83 eV per formula unit


20.
Here is an optimized crystal structure of HfTe2Se6 from Alexandria. Energies are from GGA-PBE.

Cell lengths 11.446, 6.103, 8.640 Å; angles 72.02, 90.00, 90.00 degrees
Sites, in units of the cell vectors:
Se1 0.456 0.350 0.245
Se2 0.956 0.650 0.255
Se3 0.402 0.227 0.769
Se4 0.544 0.650 0.755
Se5 0.793 0.275 0.025
Hf1 0.500 0.500 0.500
Se6 0.044 0.350 0.745
Te1 0.799 0.938 0.288
Se7 0.598 0.773 0.231
Te2 0.701 0.938 0.788
Se8 0.207 0.725 0.975
Te3 0.299 0.062 0.212
Se9 0.902 0.773 0.731
Se10 0.098 0.227 0.269
Te4 0.201 0.062 0.712
Hf2 0.000 0.500 0.000
Se11 0.293 0.725 0.475
Se12 0.707 0.275 0.525

Computed properties:
Electronic total energy = -4.417 eV per atom
Formation energy without anion corrections = -2.61 eV per formula unit


Q: Which spin magnetization values were calculated for the entries above? A: 0.0, 0.0, 0.0, 0.0, 0.0, 0.0, 0.8, 0.0, 0.0, 0.0, 0.0, 9.5, 0.0, 0.0, 0.0, 0.0, 0.0, 0.0, 0.0, 0.0, in μB/cell.